[1]
{"formula": "ReAg2TeP", "functional": "PBE", "state": "relaxed", "raw_formation_energy_ev_per_atom": 0.922, "crystal_system": "tetragonal", "total_energy_ev_per_cell": -22.090, "lattice_angstrom": [[-3.618, 3.813, 0.097], [-2.779, -2.692, 2.148], [1.910, 1.695, 4.595]], "species": ["Ag", "Ag", "Re", "P", "Te"], "fractional_positions": [[0.000, 0.000, 0.500], [0.500, 0.000, 0.000], [0.000, 0.000, 0.000], [0.000, 0.500, 0.000], [0.500, 0.500, 0.500]]}

=====

[2]
{"formula": "CaZrAs2", "functional": "PBE", "state": "relaxed", "crystal_system": "orthorhombic", "formation_enthalpy_0k_mev_per_atom": -900, "total_energy_ev_per_cell": -23.450, "de_polymorph_ev_per_atom": 0.279, "lattice_angstrom": [[-5.111, 1.606, -3.728], [-6.262, -1.235, -1.367], [-1.138, 2.741, 2.743]], "species": ["Ca", "Zr", "As", "As"], "fractional_positions": [[0.495, 0.495, 0.624], [0.225, 0.225, 0.126], [0.758, 0.758, 0.625], [0.022, 0.022, 0.124]]}

=====

[3]
{"formula": "SrSbW2", "functional": "PBE", "state": "relaxed", "raw_formation_energy_ev_per_atom": 1.240, "crystal_system": "orthorhombic", "total_energy_ev_per_cell": -26.751, "lattice_angstrom": [[5.840, -0.017, 0.000], [-2.850, 5.098, 0.000], [0.000, 0.000, 2.883]], "species": ["Sr", "W", "W", "Sb"], "fractional_positions": [[0.000, 0.500, 0.500], [0.500, 0.500, 0.000], [0.000, 0.000, 0.000], [0.500, 0.000, 0.500]]}

=====

[4]
{"formula": "La2PrDy9", "functional": "PBE", "state": "relaxed", "crystal_system": "tetragonal", "formation_enthalpy_0k_mev_per_atom": 28, "total_energy_ev_per_cell": -55.721, "de_polymorph_ev_per_atom": 0.000, "lattice_angstrom": [[5.082, 0.000, 0.000], [0.000, 5.082, 0.000], [0.000, 0.000, 15.249]], "species": ["Dy", "Dy", "Dy", "Dy", "Dy", "Dy", "Dy", "Dy", "Dy", "La", "La", "Pr"], "fractional_positions": [[0.500, 0.500, 0.000], [0.500, 0.000, 0.166], [0.500, 0.500, 0.667], [0.500, 0.000, 0.500], [0.500, 0.500, 0.333], [0.000, 0.500, 0.500], [0.500, 0.000, 0.834], [0.000, 0.500, 0.166], [0.000, 0.500, 0.834], [0.000, 0.000, 0.334], [0.000, 0.000, 0.666], [0.000, 0.000, 0.000]]}

=====

[5]
{"formula": "Pu2MgZn4Ga3", "functional": "PBE", "state": "relaxed", "crystal_system": "tetragonal", "formation_enthalpy_0k_mev_per_atom": -201, "total_energy_ev_per_cell": -46.447, "lattice_angstrom": [[-0.385, 1.928, 3.731], [-1.256, -3.628, 1.745], [10.392, -2.470, 2.348]], "species": ["Zn", "Zn", "Zn", "Zn", "Pu", "Pu", "Mg", "Ga", "Ga", "Ga"], "fractional_positions": [[0.500, 0.000, 0.644], [0.000, 0.000, 0.000], [0.000, 0.500, 0.356], [0.500, 0.500, 0.000], [0.000, 0.500, 0.765], [0.500, 0.000, 0.235], [0.500, 0.500, 0.500], [0.500, 0.000, 0.866], [0.000, 0.500, 0.134], [0.000, 0.000, 0.500]]}

=====

[6]
{"formula": "HfTcAu2", "functional": "PBE", "state": "relaxed", "crystal_system": "cubic", "formation_enthalpy_0k_mev_per_atom": 18, "total_energy_ev_per_cell": -26.801, "de_polymorph_ev_per_atom": 0.000, "lattice_angstrom": [[1.798, -2.844, 3.222], [-1.565, 0.164, 4.385], [-2.553, -3.509, 1.695]], "species": ["Tc", "Au", "Au", "Hf"], "fractional_positions": [[0.000, 0.000, 0.000], [0.750, 0.750, 0.750], [0.250, 0.250, 0.250], [0.500, 0.500, 0.500]]}

=====

[7]
{"formula": "CdHg2Sb", "functional": "PBE", "state": "relaxed", "raw_formation_energy_ev_per_atom": 0.129, "crystal_system": "tetragonal", "total_energy_ev_per_cell": -5.124, "de_polymorph_ev_per_atom": 0.095, "lattice_angstrom": [[5.696, 0.000, 0.000], [1.892, 5.373, 0.000], [-3.794, -2.686, 3.291]], "species": ["Hg", "Hg", "Cd", "Sb"], "fractional_positions": [[0.250, 0.750, 0.500], [0.000, 0.000, 0.000], [0.750, 0.250, 0.500], [0.500, 0.500, 0.000]]}

=====

[8]
{"formula": "Fe2ReCl", "functional": "PBE", "state": "relaxed", "raw_formation_energy_ev_per_atom": 0.308, "crystal_system": "monoclinic", "total_energy_ev_per_cell": -29.987, "de_polymorph_ev_per_atom": 0.034, "lattice_angstrom": [[2.881, 0.000, 0.000], [0.000, 2.894, -0.291], [0.000, 0.722, 7.037]], "species": ["Fe", "Fe", "Re", "Cl"], "fractional_positions": [[0.500, 0.251, 0.251], [0.000, 0.752, 0.047], [0.000, 0.750, 0.454], [0.500, 0.747, 0.748]]}

=====

[9]
{"formula": "ZnW2C", "functional": "PBE", "state": "relaxed", "crystal_system": "cubic", "formation_enthalpy_0k_mev_per_atom": 1260, "total_energy_ev_per_cell": -31.366, "de_polymorph_ev_per_atom": 0.040, "lattice_angstrom": [[0.000, 2.942, 2.942], [2.942, 0.000, 2.942], [2.942, 2.942, 0.000]], "species": ["W", "W", "C", "Zn"], "fractional_positions": [[0.250, 0.250, 0.250], [0.750, 0.750, 0.750], [0.000, 0.000, 0.000], [0.500, 0.500, 0.500]]}

=====

[10]
{"formula": "Er2Zn2Cu3", "functional": "PBE", "state": "relaxed", "crystal_system": "monoclinic", "formation_enthalpy_0k_mev_per_atom": -266, "total_energy_ev_per_cell": -25.827, "lattice_angstrom": [[4.082, 0.000, 0.000], [-2.041, 4.722, -1.597], [0.000, -0.364, 6.519]], "species": ["Er", "Er", "Cu", "Cu", "Cu", "Zn", "Zn"], "fractional_positions": [[0.861, 0.722, 0.238], [0.139, 0.278, 0.762], [0.604, 0.208, 0.424], [0.500, 0.000, 0.000], [0.396, 0.792, 0.576], [0.151, 0.302, 0.233], [0.849, 0.698, 0.767]]}

=====

[11]
{"formula": "La5Tb2PmSm", "functional": "PBE", "state": "relaxed", "crystal_system": "tetragonal", "formation_enthalpy_0k_mev_per_atom": 269, "total_energy_ev_per_cell": -81.886, "lattice_angstrom": [[-7.627, 4.881, 1.508], [-4.537, -5.225, -6.032], [4.131, -4.610, 7.871]], "species": ["Pm", "Pm", "La", "La", "La", "La", "La", "La", "La", "La", "La", "La", "Tb", "Tb", "Tb", "Tb", "Sm", "Sm"], "fractional_positions": [[0.250, 0.250, 0.500], [0.750, 0.750, 0.500], [0.000, 0.000, 0.000], [0.437, 0.337, 0.274], [0.937, 0.437, 0.274], [0.563, 0.663, 0.726], [0.337, 0.837, 0.274], [0.163, 0.063, 0.726], [0.063, 0.563, 0.726], [0.500, 0.500, 0.000], [0.837, 0.937, 0.274], [0.663, 0.163, 0.726], [0.114, 0.386, 0.000], [0.386, 0.886, 0.000], [0.614, 0.114, 0.000], [0.886, 0.614, 0.000], [0.250, 0.750, 0.500], [0.750, 0.250, 0.500]]}

=====

[12]
{"formula": "Er4Au2O", "functional": "PBE", "state": "relaxed", "raw_formation_energy_ev_per_atom": -1.324, "crystal_system": "tetragonal", "total_energy_ev_per_cell": -39.035, "lattice_angstrom": [[4.609, 0.000, 0.000], [0.000, 4.609, 0.000], [-2.304, -2.304, 7.356]], "species": ["O", "Er", "Er", "Er", "Er", "Au", "Au"], "fractional_positions": [[0.000, 0.000, 0.000], [0.000, 0.500, 0.000], [0.500, 0.000, 0.000], [0.181, 0.181, 0.362], [0.819, 0.819, 0.638], [0.370, 0.370, 0.741], [0.630, 0.630, 0.259]]}

=====

Computed values of magnetization (unit: μB per atom) for the preceding records, in sequence: 0.159 0.000 0.000 0.000 1.094 0.000 0.000 1.198 0.000 0.000 0.000 0.000.
Computed values of D(E_F) (unit: states/eV per cell) for the preceding records, in sequence: 4.0 0.3 4.2 18.8 25.6 5.2 1.7 4.0 2.1 5.0 35.2 8.4.